## CuBr (GGA-PBE)

Data for a geometry-optimized CuBr structure.

The structure belongs to space group Fddd (No. 70, origin choice 2); the cell edges are 9.403, 9.431 and 9.825 Å and the angles 90.00°, 90.00° and 90.00°. Symmetry generates all atoms from Cu at (0.000, 0.000, 0.000) and Br at (0.125, 0.125, 0.407).

Its electronic total energy is -98.704 eV/cell. The energy relative to the elements, uncorrected comes out at -0.200 eV per atom. The density of states at the Fermi level is 0.0 states/eV/f.u. For the theoretical density, the calculation gives 4.375 g/cm³.

***

## Ba4Na5Ag2 (GGA-PBE)

Data for a geometry-optimized Ba4Na5Ag2 structure.

The structure belongs to space group P2/m (No. 10); the cell edges are 9.338, 4.501 and 11.490 Å and the angles 90.00°, 94.39° and 90.00°. Symmetry generates all atoms from Ba at (0.165, 0.000, 0.343), Ba at (0.216, 0.000, 0.945), Na at (0.186, 0.500, 0.650), Na at (0.449, 0.500, 0.180), Na at (0.500, 0.500, 0.500) and Ag at (0.060, 0.500, 0.128).

Its electronic total energy is -20.897 eV/cell. The density of states at the Fermi level is 7.9 states/eV/f.u. The calculation puts the formation enthalpy at 0 K at -0.9 eV/f.u. For the theoretical density, the calculation gives 3.035 g/cm³.

***

## CdInGaAg3 (GGA-PBE)

Data for a geometry-optimized CdInGaAg3 structure.

The structure belongs to space group C2/m (No. 12); the cell edges are 14.684, 3.990 and 9.075 Å and the angles 90.00°, 112.04° and 90.00°. Symmetry generates all atoms from Cd at (0.048, 0.000, 0.170), In at (0.153, 0.500, 0.001), Ga at (0.186, 0.500, 0.398), Ag at (0.023, 0.500, 0.672), Ag at (0.109, 0.000, 0.536) and Ag at (0.237, 0.500, 0.754).

Its electronic total energy is -60.462 eV/cell. The density of states at the Fermi level is 1.6 states/eV/f.u. The calculation puts the formation enthalpy at 0 K at 0.1 eV/f.u. For the theoretical density, the calculation gives 8.364 g/cm³.

***

## Tb5ZrHg6 (GGA-PBE)

Data for a geometry-optimized Tb5ZrHg6 structure.

The structure belongs to space group Immm (No. 71); the cell edges are 5.214, 7.461 and 15.641 Å and the angles 90.00°, 90.00° and 90.00°. Symmetry generates all atoms from Tb at (0.000, 0.000, 0.000), Tb at (0.000, 0.000, 0.340), Tb at (0.000, 0.500, 0.330), Zr at (0.000, 0.500, 0.000), Hg at (0.000, 0.249, 0.165) and Hg at (0.000, 0.255, 0.500).

Its electronic total energy is -76.728 eV/cell. The density of states at the Fermi level is 10.5 states/eV/f.u. The calculation puts the formation enthalpy at 0 K at -4.9 eV/f.u. For the theoretical density, the calculation gives 11.403 g/cm³.

***

## CrSn3Pt (GGA-PBE)

Data for a geometry-optimized CrSn3Pt structure.

The structure belongs to space group Pm-3m (No. 221); the cell edges are 4.984, 4.984 and 4.984 Å and the angles 90.00°, 90.00° and 90.00°. Symmetry generates all atoms from Cr at (0.000, 0.000, 0.000), Sn at (0.000, 0.000, 0.500) and Pt at (0.500, 0.500, 0.500).

Its electronic total energy is -25.100 eV/cell. The density of states at the Fermi level is 3.3 states/eV/f.u. The calculation puts the formation enthalpy at 0 K at 2.6 eV/f.u. For the theoretical density, the calculation gives 8.089 g/cm³. Its polymorph energy (0 for the lowest one) is 0.0 meV per atom.

***

## PmSc2Sb (GGA-PBE)

Data for a geometry-optimized PmSc2Sb structure.

The structure belongs to space group P4/mmm (No. 123); the cell edges are 3.806, 3.806 and 7.064 Å and the angles 90.00°, 90.00° and 90.00°. Symmetry generates all atoms from Pm at (0.000, 0.000, 0.000), Sc at (0.500, 0.500, 0.286) and Sb at (0.000, 0.000, 0.500).

Its electronic total energy is -23.259 eV/cell. The energy relative to the elements, uncorrected comes out at -0.431 eV per atom. The density of states at the Fermi level is 5.0 states/eV/f.u. For the theoretical density, the calculation gives 5.789 g/cm³. Its polymorph energy (0 for the lowest one) is 130.8 meV per atom.

***

## Li6PuAl12 (GGA-PBE)

Data for a geometry-optimized Li6PuAl12 structure.

The structure belongs to space group R-3m (No. 166, hexagonal axes); the cell edges are 11.5125, 11.5125 and 8.8882 Å and the angles 90.00°, 90.00° and 120.00°. Symmetry generates all atoms from Li at (0.0449, 0.5224, 0.2430), Pu at (0.0000, 0.0000, 0.0000), Al at (0.0000, 0.3860, 0.5000) and Al at (0.0839, 0.1678, 0.3115).

Its electronic total energy is -206.099 eV/cell. The density of states at the Fermi level is 15.9 states/eV/f.u. The calculation puts the formation enthalpy at 0 K at 2.0 eV/f.u. For the theoretical density, the calculation gives 2.976 g/cm³.

***

## Mg2InH (GGA-PBE)

Data for a geometry-optimized Mg2InH structure.

The structure belongs to space group C2/m (No. 12); the cell edges are 10.372, 4.707 and 6.212 Å and the angles 90.00°, 110.50° and 90.00°. Symmetry generates all atoms from Mg at (0.010, 0.000, 0.263), Mg at (0.173, 0.500, 0.099), In at (0.164, 0.500, 0.593) and H at (0.000, 0.253, 0.000).

Its electronic total energy is -38.417 eV/cell. The density of states at the Fermi level is 0.8 states/eV/f.u. For the theoretical density, the calculation gives 3.844 g/cm³. Its polymorph energy (0 for the lowest one) is 0.0 meV per atom.

***

## CsTl2ZnSb2 (GGA-PBE)

Data for a geometry-optimized CsTl2ZnSb2 structure.

The structure belongs to space group Pmc2_1 (No. 26); the cell edges are 4.969, 10.522 and 8.413 Å and the angles 90.00°, 90.00° and 90.00°. Symmetry generates all atoms from Cs at (0.000, 0.040, 0.000), Tl at (0.000, 0.367, 0.338), Tl at (0.500, 0.415, 0.009), Zn at (0.500, 0.287, 0.594), Sb at (0.000, 0.345, 0.727) and Sb at (0.500, 0.198, 0.291).

Its electronic total energy is -31.569 eV/cell. The energy relative to the elements, uncorrected comes out at -0.113 eV per atom. The density of states at the Fermi level is 3.7 states/eV/f.u. For the theoretical density, the calculation gives 6.422 g/cm³.

***

## TbScPb (GGA-PBE)

Data for a geometry-optimized TbScPb structure.

The structure belongs to space group P3m1 (No. 156); the cell edges are 5.0118, 5.0118 and 3.8285 Å and the angles 90.00°, 90.00° and 120.00°. Symmetry generates all atoms from Tb at (0.0000, 0.0000, 0.0000), Sc at (0.6667, 0.3333, 0.4986) and Pb at (0.3333, 0.6667, 0.5044).

Its electronic total energy is -15.403 eV/cell. The density of states at the Fermi level is 1.8 states/eV/f.u. The calculation puts the formation enthalpy at 0 K at -0.7 eV/f.u. For the theoretical density, the calculation gives 8.197 g/cm³. Its polymorph energy (0 for the lowest one) is 211.9 meV per atom.

***

## NaPaTl2Se4 (GGA-PBE)

Data for a geometry-optimized NaPaTl2Se4 structure.

The structure belongs to space group P2/m (No. 10); the cell edges are 7.315, 4.291 and 8.011 Å and the angles 90.00°, 107.14° and 90.00°. Symmetry generates all atoms from Na at (0.000, 0.000, 0.000), Pa at (0.500, 0.500, 0.000), Tl at (0.000, 0.500, 0.500), Tl at (0.500, 0.000, 0.500), Se at (0.268, 0.500, 0.208) and Se at (0.285, 0.000, 0.797).

Its electronic total energy is -37.480 eV/cell. The energy relative to the elements, uncorrected comes out at -0.999 eV per atom. For the theoretical density, the calculation gives 6.763 g/cm³.

***

## PrSm4DyEr2 (GGA-PBE)

Data for a geometry-optimized PrSm4DyEr2 structure.

The structure belongs to space group C2/c (No. 15); the cell edges are 13.693, 13.287 and 6.855 Å and the angles 90.00°, 120.03° and 90.00°. Symmetry generates all atoms from Pr at (0.250, 0.250, 0.000), Sm at (0.000, 0.249, 0.000), Sm at (0.249, 0.003, 0.492), Dy at (0.000, 0.500, 0.000), Er at (0.000, 0.000, 0.000) and Er at (0.250, 0.250, 0.500).

Its electronic total energy is -136.513 eV/cell. The density of states at the Fermi level is 19.6 states/eV/f.u. The calculation puts the formation enthalpy at 0 K at 3.3 eV/f.u. For the theoretical density, the calculation gives 7.624 g/cm³.

***

## Hf2MgAg (GGA-PBE)

Data for a geometry-optimized Hf2MgAg structure.

The structure belongs to space group P4mm (No. 99); the cell edges are 3.186, 3.186 and 8.227 Å and the angles 90.00°, 90.00° and 90.00°. Symmetry generates all atoms from Hf at (0.000, 0.000, 0.000), Hf at (0.500, 0.500, 0.250), Mg at (0.000, 0.000, 0.539) and Ag at (0.500, 0.500, 0.755).

Its electronic total energy is -24.798 eV/cell. The density of states at the Fermi level is 1.0 states/eV/f.u. The calculation puts the formation enthalpy at 0 K at -0.4 eV/f.u. For the theoretical density, the calculation gives 9.728 g/cm³.

***

## Cs3In2Cl7 (GGA-PBE)

Data for a geometry-optimized Cs3In2Cl7 structure.

The structure belongs to space group Cmmm (No. 65); the cell edges are 5.563, 28.003 and 5.380 Å and the angles 90.00°, 90.00° and 90.00°. Symmetry generates all atoms from Cs at (0.000, 0.000, 0.000), Cs at (0.000, 0.184, 0.000), In at (0.000, 0.400, 0.500), Cl at (0.000, 0.098, 0.500), Cl at (0.000, 0.303, 0.500), Cl at (0.000, 0.402, 0.000) and Cl at (0.000, 0.500, 0.500).

Its electronic total energy is -77.684 eV/cell. The energy relative to the elements, uncorrected comes out at -1.490 eV per atom. The density of states at the Fermi level is 2.1 states/eV/f.u. For the theoretical density, the calculation gives 3.473 g/cm³. Its polymorph energy (0 for the lowest one) is 20.6 meV per atom.

***

## Mn2CoRe (GGA-PBE)

Data for a geometry-optimized Mn2CoRe structure.

The structure belongs to space group Imm2 (No. 44); the cell edges are 2.984, 4.044 and 8.290 Å and the angles 90.00°, 90.00° and 90.00°. Symmetry generates all atoms from Mn at (0.000, 0.000, 0.000), Mn at (0.000, 0.500, 0.250), Co at (0.000, 0.000, 0.505) and Re at (0.000, 0.500, 0.750).

Its electronic total energy is -75.088 eV/cell. The density of states at the Fermi level is 2.9 states/eV/f.u. The calculation puts the formation enthalpy at 0 K at 0.3 eV/f.u. For the theoretical density, the calculation gives 11.787 g/cm³.

***

## HfTl2Cu2 (GGA-PBE)

Data for a geometry-optimized HfTl2Cu2 structure.

The structure belongs to space group P4/mbm (No. 127); the cell edges are 7.207, 7.207 and 3.743 Å and the angles 90.00°, 90.00° and 90.00°. Symmetry generates all atoms from Hf at (0.000, 0.000, 0.000), Tl at (0.181, 0.319, 0.500) and Cu at (0.121, 0.621, 0.000).

Its electronic total energy is -43.124 eV/cell. The density of states at the Fermi level is 2.9 states/eV/f.u. The calculation puts the formation enthalpy at 0 K at 1.3 eV/f.u. For the theoretical density, the calculation gives 12.204 g/cm³.

***

## CeSm2DyBi5 (GGA-PBE)

Data for a geometry-optimized CeSm2DyBi5 structure.

The structure belongs to space group P4/mmm (No. 123); the cell edges are 5.562, 5.562 and 11.882 Å and the angles 90.00°, 90.00° and 90.00°. Symmetry generates all atoms from Ce at (0.000, 0.000, 0.000), Sm at (0.500, 0.500, 0.226), Dy at (0.000, 0.000, 0.500), Bi at (0.000, 0.000, 0.255), Bi at (0.000, 0.500, 0.000) and Bi at (0.500, 0.500, 0.500).

Its electronic total energy is -39.465 eV/cell. The density of states at the Fermi level is 8.4 states/eV/f.u. The calculation puts the formation enthalpy at 0 K at -0.1 eV/f.u. For the theoretical density, the calculation gives 7.446 g/cm³.

***

## Ca2In2GaRh5 (GGA-PBE)

Data for a geometry-optimized Ca2In2GaRh5 structure.

The structure belongs to space group P4/mbm (No. 127); the cell edges are 10.665, 10.665 and 3.290 Å and the angles 90.00°, 90.00° and 90.00°. Symmetry generates all atoms from Ca at (0.165, 0.335, 0.000), In at (0.137, 0.637, 0.000), Ga at (0.000, 0.000, 0.000), Rh at (0.000, 0.500, 0.500) and Rh at (0.057, 0.818, 0.500).

Its electronic total energy is -106.000 eV/cell. The density of states at the Fermi level is 4.7 states/eV/f.u. The calculation puts the formation enthalpy at 0 K at -3.7 eV/f.u. For the theoretical density, the calculation gives 7.936 g/cm³.

***

## Tm6ZnHg5 (GGA-PBE)

Data for a geometry-optimized Tm6ZnHg5 structure.

The structure belongs to space group Cmmm (No. 65); the cell edges are 5.151, 15.527 and 7.303 Å and the angles 90.00°, 90.00° and 90.00°. Symmetry generates all atoms from Tm at (0.000, 0.000, 0.245), Tm at (0.000, 0.335, 0.247), Zn at (0.000, 0.500, 0.000), Hg at (0.000, 0.163, 0.000), Hg at (0.000, 0.167, 0.500) and Hg at (0.000, 0.500, 0.500).

Its electronic total energy is -70.102 eV/cell. The density of states at the Fermi level is 7.9 states/eV/f.u. The calculation puts the formation enthalpy at 0 K at -5.4 eV/f.u. For the theoretical density, the calculation gives 11.838 g/cm³.

***

## La3Nd5 (GGA-PBE)

Data for a geometry-optimized La3Nd5 structure.

The structure belongs to space group P4/mmm (No. 123); the cell edges are 3.711, 3.711 and 20.922 Å and the angles 90.00°, 90.00° and 90.00°. Symmetry generates all atoms from La at (0.000, 0.000, 0.000), La at (0.500, 0.500, 0.375), Nd at (0.000, 0.000, 0.249), Nd at (0.000, 0.000, 0.500) and Nd at (0.500, 0.500, 0.126).

Its electronic total energy is -38.491 eV/cell. The density of states at the Fermi level is 14.9 states/eV/f.u. The calculation puts the formation enthalpy at 0 K at 0.1 eV/f.u. For the theoretical density, the calculation gives 6.559 g/cm³. Its polymorph energy (0 for the lowest one) is 0.0 meV per atom.

***

## PmSmAlGe (GGA-PBE)

Data for a geometry-optimized PmSmAlGe structure.

The structure belongs to space group Amm2 (No. 38); the cell edges are 4.094, 4.467 and 11.221 Å and the angles 90.00°, 90.00° and 90.00°. Symmetry generates all atoms from Pm at (0.000, 0.000, 0.000), Sm at (0.500, 0.000, 0.717), Al at (0.500, 0.000, 0.429) and Ge at (0.000, 0.000, 0.282).

Its electronic total energy is -41.077 eV/cell. The density of states at the Fermi level is 3.5 states/eV/f.u. The calculation puts the formation enthalpy at 0 K at -2.7 eV/f.u. For the theoretical density, the calculation gives 6.392 g/cm³. Its polymorph energy (0 for the lowest one) is 0.0 meV per atom.

***

## Ga2CuSb2Au7 (GGA-PBE)

Data for a geometry-optimized Ga2CuSb2Au7 structure.

The structure belongs to space group C2/m (No. 12); the cell edges are 5.832, 5.745 and 14.675 Å and the angles 90.00°, 92.35° and 90.00°. Symmetry generates all atoms from Ga at (0.026, 0.000, 0.257), Cu at (0.000, 0.500, 0.000), Sb at (0.150, 0.500, 0.396), Au at (0.000, 0.000, 0.000), Au at (0.169, 0.000, 0.424) and Au at (0.236, 0.250, 0.860).

Its electronic total energy is -83.319 eV/cell. The energy relative to the elements, uncorrected comes out at -0.027 eV per atom. The density of states at the Fermi level is 5.4 states/eV/f.u. For the theoretical density, the calculation gives 12.338 g/cm³.